# 1
Here is KNbPO6 after structural relaxation from the Alexandria database. Energies are from PBE.

Output
The calculation puts the total energy at -7.09 eV/atom. The calculation puts the volume at 132.4 Å³/cell. As for the uncorrected formation energy: -1.946 eV per atom. The calculation puts the density of states at the Fermi level at 0.310 states/eV/atom.

abc: 5.083 5.083 5.919
angles: 90.00 90.00 120.00
Fractional positions:
K: 0.000 0.000 0.000
Nb: 0.333 0.667 0.500
P: 0.667 0.333 0.500
O: 0.409 0.043 0.668
O: 0.409 0.366 0.332
O: 0.634 0.043 0.332
O: 0.634 0.591 0.668
O: 0.957 0.366 0.668
O: 0.957 0.591 0.332

# 2
Here is KNbPO2 after structural relaxation from the Alexandria database. Energies are from PBE.

Output
The energy relative to the lowest polymorph listed for this composition comes out at 2.486 eV per atom. The calculation puts the total energy at -4.11 eV/atom. The calculation puts the volume at 90.9 Å³/cell. As for the uncorrected formation energy: 1.193 eV per atom. The calculation puts the density of states at the Fermi level at 0.720 states/eV/atom.

abc: 3.992 3.992 5.705
angles: 90.00 90.00 90.00
Fractional positions:
K: 0.000 0.000 0.000
Nb: 0.500 0.500 0.500
P: 0.000 0.000 0.500
O: 0.000 0.500 0.000
O: 0.500 0.000 0.000